This record from Alexandria via LeMat-Bulk describes CuSiRh2 after structural relaxation. The functional is PBEsol.

abc: 2.773 4.331 4.687
angles: 104.71 90.00 108.67
Fractional coordinates of all 4 atoms:
Cu1 0.000 0.000 0.500
Rh1 0.767 0.534 0.759
Rh2 0.233 0.466 0.241
Si1 0.500 0.000 0.000

Summary:
Raw formation energy, eV per atom: -0.359
DOS(E_F), states/eV per cell: 2.4
Total magnetization, Bohr magnetons per cell: 0.00



This record from Alexandria via LeMat-Bulk describes Sc3SnP after structural relaxation. The functional is PBEsol.

abc: 5.191 5.191 5.191
angles: 90.00 90.00 90.00
Fractional coordinates of all 5 atoms:
Sc1 0.000 0.000 0.500
Sc2 0.000 0.500 0.000
Sc3 0.500 0.000 0.000
P1 0.500 0.500 0.500
Sn1 0.000 0.000 0.000

Summary:
DOS(E_F), states/eV per cell: 5.3
E_tot, Ha/atom: -0.205
Total magnetization, Bohr magnetons per cell: 0.00



This record from Alexandria via LeMat-Bulk describes ZrRe3N after structural relaxation. The functional is PBEsol.

abc: 4.115 4.115 4.115
angles: 90.00 90.00 90.00
Fractional coordinates of all 5 atoms:
Zr1 0.500 0.500 0.500
Re1 0.500 0.000 0.000
Re2 0.000 0.500 0.000
Re3 0.000 0.000 0.500
N1 0.000 0.000 0.000

Summary:
Raw formation energy, eV per atom: -0.072
DOS(E_F), states/eV per cell: 4.0
Total magnetization, Bohr magnetons per cell: 0.00